# PBE SmHoBiSb, relaxed
# Total magnetization = 0.00 μB per atom
# Energy = -5.336 eV/atom
# DOS(E_F) = 2.20 states/eV per cell
data_SmHoBiSb
_cell_length_a 4.4641
_cell_length_b 4.4641
_cell_length_c 21.8693
_cell_angle_alpha 90.00
_cell_angle_beta 90.00
_cell_angle_gamma 120.00
_symmetry_space_group_name_H-M 'R 3 m'
_symmetry_Int_Tables_number 160
_symmetry_space_group_name_Hall 'R 3 -2"'
loop_
_atom_site_label
_atom_site_fract_x
_atom_site_fract_y
_atom_site_fract_z
Sm1 0.0000 0.0000 0.0000
Ho1 0.0000 0.0000 0.4960
Bi1 0.0000 0.0000 0.2458
Sb1 0.0000 0.0000 0.7502



# PBE TbHoBiSb, relaxed
# Total magnetization = 0.00 μB per atom
# Energy = -5.293 eV/atom
# DOS(E_F) = 0.60 states/eV per cell
data_TbHoBiSb
_cell_length_a 4.430
_cell_length_b 4.430
_cell_length_c 6.261
_cell_angle_alpha 90.00
_cell_angle_beta 90.00
_cell_angle_gamma 90.00
_symmetry_space_group_name_H-M 'P 4/m m m'
_symmetry_Int_Tables_number 123
_symmetry_space_group_name_Hall '-P 4 2'
loop_
_atom_site_label
_atom_site_fract_x
_atom_site_fract_y
_atom_site_fract_z
Tb1 0.000 0.000 0.000
Ho1 0.500 0.500 0.500
Bi1 0.500 0.500 0.000
Sb1 0.000 0.000 0.500



Question: Among the records above, which one has the highest DOS(E_F)?
Answer: SmHoBiSb



Question: What is the DOS(E_F) in the second record?
Answer: 0.60 states/eV per cell